YZn2As2: relaxed, GGA-PBE.

The structure belongs to space group P4/mbm (No. 127); the cell edges are 7.4781, 7.4781 and 3.5732 Å and the angles 90.00°, 90.00° and 90.00°. The inequivalent atoms are Y at (0.0000, 0.0000, 0.0000), Zn at (0.1408, 0.3592, 0.5000) and As at (0.1526, 0.6526, 0.0000).

The crystal system is tetragonal. As for the formation energy: -285 meV/atom.


Er2TmSc3Bi6: relaxed, GGA-PBE.

The structure belongs to space group C2/m (No. 12); the cell edges are 7.5447, 13.0724 and 7.5389 Å and the angles 90.00°, 109.47° and 90.00°. The inequivalent atoms are Er at (0.0000, 0.1665, 0.0000), Tm at (0.0000, 0.5000, 0.0000), Sc at (0.0000, 0.0000, 0.5000), Sc at (0.0000, 0.3329, 0.5000), Bi at (0.2450, 0.5000, 0.7375) and Bi at (0.2464, 0.1663, 0.7380).

The crystal system is monoclinic. As for the formation energy: -729 meV/atom.


BaTe2RhO: relaxed, GGA-PBE.

The structure belongs to space group P4/mmm (No. 123); the cell edges are 5.8177, 5.8177 and 3.8372 Å and the angles 90.00°, 90.00° and 90.00°. The inequivalent atoms are Ba at (0.0000, 0.0000, 0.0000), Te at (0.0000, 0.5000, 0.5000), Rh at (0.5000, 0.5000, 0.5000) and O at (0.5000, 0.5000, 0.0000).

The crystal system is tetragonal. The raw formation energy comes out at -0.7633 eV per atom.


LiZnAuC2: relaxed, GGA-PBE.

The structure belongs to space group P4/mmm (No. 123); the cell edges are 3.9468, 3.9468 and 5.0200 Å and the angles 90.00°, 90.00° and 90.00°. The inequivalent atoms are Li at (0.0000, 0.0000, 0.0000), Zn at (0.5000, 0.5000, 0.5000), Au at (0.5000, 0.5000, 0.0000) and C at (0.0000, 0.5000, 0.5000).

The crystal system is tetragonal. As for the formation energy: 1787 meV/atom.


CsNa2Cd2: relaxed, GGA-PBE.

The structure belongs to space group P4/mbm (No. 127); the cell edges are 9.7366, 9.7366 and 3.8049 Å and the angles 90.00°, 90.00° and 90.00°. The inequivalent atoms are Cs at (0.0000, 0.0000, 0.0000), Na at (0.1701, 0.3299, 0.5000) and Cd at (0.1119, 0.6119, 0.0000).

The crystal system is tetragonal. Its excess energy over the best structure of this formula in the dataset is 0.034 eV per atom. As for the formation energy: -4 meV/atom.


LaAgTe2: relaxed, GGA-PBE.

The structure belongs to space group P2_1/c (No. 14); the cell edges are 8.1817, 8.7133 and 8.6205 Å and the angles 90.00°, 115.19° and 90.00°. The inequivalent atoms are La at (0.2500, 0.1275, 0.0130), Ag at (0.2475, 0.7054, 0.8382), Te at (0.0558, 0.0793, 0.2727) and Te at (0.4753, 0.6783, 0.6636).

The crystal system is monoclinic. The raw formation energy comes out at -1.0023 eV per atom.


Ba2CeCd2O6: relaxed, GGA-PBE.

The structure belongs to space group R-3m (No. 166, hexagonal axes); the cell edges are 6.5118, 6.5118 and 17.7966 Å and the angles 90.00°, 90.00° and 120.00°. The inequivalent atoms are Ba at (0.0000, 0.0000, 0.2029), Ce at (0.0000, 0.0000, 0.0000), Cd at (0.0000, 0.0000, 0.4162) and O at (0.0391, 0.5196, 0.7531).

The crystal system is trigonal. The raw formation energy comes out at -2.0980 eV per atom.


CsAcPb2: relaxed, GGA-PBE.

The structure belongs to space group P4/mmm (No. 123); the cell edges are 4.5243, 4.5243 and 8.5685 Å and the angles 90.00°, 90.00° and 90.00°. The inequivalent atoms are Cs at (0.0000, 0.0000, 0.0000), Ac at (0.0000, 0.0000, 0.5000) and Pb at (0.5000, 0.5000, 0.3169).

The crystal system is tetragonal. Its excess energy over the best structure of this formula in the dataset is 0.000 eV per atom. As for the formation energy: -326 meV/atom.


Per-record energy, eV/atom: -3.948 -5.385 -4.866 -3.196 -1.068 -4.518 -5.858 -3.421